A plane-wave DFT calculation with PBE+U was carried out for a geometry-optimized Ac2PmCrO6 structure.

Cell: 5.9015 5.9015 6.0038 Å, 118.85 118.85 60.13°
Closest atoms and distances in Å follow each position.
Fractional positions:
Ac1 0.2455 0.2455 0.2265  5 O 2.50-2.60
Ac2 0.7545 0.7545 0.7735  5 O 2.50-2.60
Pm1 0.0000 0.0000 0.5000  6 O 2.31-2.34
Cr1 0.5000 0.5000 0.0000  6 O 2.04-2.09
O1 0.1990 0.6773 0.1693  1 Cr 2.04
O2 0.2680 0.2680 0.6635  1 Cr 2.09, 1 Pm 2.34
O3 0.3227 0.8010 0.8307  1 Cr 2.04
O4 0.6773 0.1990 0.1693  1 Cr 2.04
O5 0.7320 0.7320 0.3365  1 Cr 2.09, 1 Pm 2.34
O6 0.8010 0.3227 0.8307  1 Cr 2.04

Results
Energy (eV per cell): -80.0
D(E_F) (states/eV/atom): 0.000